Entry 1:
DFT (GGA-PBE) results for a relaxed structure of SrAc2Tm.

Lattice parameters (Å, degrees): 3.9119 3.9119 38.4235 90.00 90.00 120.00
Fractional coordinates of all 12 atoms:
Sr 0.0000 0.0000 0.0000
Sr 0.3333 0.6667 0.6667
Sr 0.6667 0.3333 0.3333
Ac 0.0000 0.0000 0.5764
Ac 0.0000 0.0000 0.7583
Ac 0.3333 0.6667 0.2431
Ac 0.3333 0.6667 0.4250
Ac 0.6667 0.3333 0.0916
Ac 0.6667 0.3333 0.9098
Tm 0.0000 0.0000 0.1673
Tm 0.3333 0.6667 0.8339
Tm 0.6667 0.3333 0.5006

Properties
Offset from the most stable computed form, eV per formula unit: 0.06
Final energy, eV per formula unit: -14.0
Symmetry: R3m, No. 160
Energy of formation, kJ/mol of formula units: 33.2

Entry 2:
DFT (GGA-PBE) results for a relaxed structure of SrAcTm2.

Lattice parameters (Å, degrees): 3.6999 3.6999 39.0198 90.00 90.00 120.00
Fractional coordinates of all 12 atoms:
Sr 0.0000 0.0000 0.0000
Sr 0.3333 0.6667 0.6667
Sr 0.6667 0.3333 0.3333
Ac 0.0000 0.0000 0.5000
Ac 0.3333 0.6667 0.1667
Ac 0.6667 0.3333 0.8333
Tm 0.0000 0.0000 0.0909
Tm 0.0000 0.0000 0.9091
Tm 0.3333 0.6667 0.5757
Tm 0.3333 0.6667 0.7576
Tm 0.6667 0.3333 0.2424
Tm 0.6667 0.3333 0.4243

Properties
Offset from the most stable computed form, eV per formula unit: 0.45
Final energy, eV per formula unit: -13.6
Symmetry: R-3m, No. 166
Energy of formation, kJ/mol of formula units: 112.0

Entry 3:
DFT (GGA-PBE) results for a relaxed structure of SrAc2Tm.

Lattice parameters (Å, degrees): 3.9925 3.9925 10.7212 90.00 90.00 90.00
Fractional coordinates of all 4 atoms:
Sr 0.0000 0.0000 0.0000
Ac 0.5000 0.5000 0.2798
Ac 0.5000 0.5000 0.7202
Tm 0.0000 0.0000 0.5000

Properties
Offset from the most stable computed form, eV per formula unit: 0.00
Final energy, eV per formula unit: -14.1
Symmetry: P4/mmm, No. 123
Energy of formation, kJ/mol of formula units: 27.3

Entry 4:
DFT (GGA-PBE) results for a relaxed structure of SrAc4Y.

Lattice parameters (Å, degrees): 3.9973 3.9973 16.5010 90.00 90.00 90.00
Fractional coordinates of all 6 atoms:
Sr 0.0000 0.0000 0.0000
Ac 0.0000 0.0000 0.3498
Ac 0.0000 0.0000 0.6502
Ac 0.5000 0.5000 0.1867
Ac 0.5000 0.5000 0.8133
Y 0.5000 0.5000 0.5000

Properties
Offset from the most stable computed form, eV per formula unit: 0.00
Final energy, eV per formula unit: -24.3
Symmetry: P4/mmm, No. 123
Energy of formation, kJ/mol of formula units: 27.1

Entry 5:
DFT (GGA-PBE) results for a relaxed structure of SrAc2Y.

Lattice parameters (Å, degrees): 3.9711 3.9711 10.9722 90.00 90.00 90.00
Fractional coordinates of all 4 atoms:
Sr 0.0000 0.0000 0.0000
Ac 0.5000 0.5000 0.2753
Ac 0.5000 0.5000 0.7247
Y 0.0000 0.0000 0.5000

Properties
Offset from the most stable computed form, eV per formula unit: 0.00
Final energy, eV per formula unit: -16.1
Symmetry: P4/mmm, No. 123
Energy of formation, kJ/mol of formula units: 23.5

Entry 6:
DFT (GGA-PBE) results for a relaxed structure of SrAc3Y.

Lattice parameters (Å, degrees): 8.7374 5.6274 8.8239 90.00 90.65 90.00
Fractional coordinates of all 10 atoms:
Sr 0.2465 0.2500 0.2584
Sr 0.7535 0.7500 0.7416
Ac 0.1492 0.7500 0.9456
Ac 0.3348 0.7500 0.5556
Ac 0.4390 0.2500 0.8460
Ac 0.5610 0.7500 0.1540
Ac 0.6652 0.2500 0.4444
Ac 0.8508 0.2500 0.0544
Y 0.0519 0.2500 0.6483
Y 0.9481 0.7500 0.3517

Properties
Final energy, eV per formula unit: -20.0
Symmetry: P2_1/m, No. 11
Energy of formation, kJ/mol of formula units: 46.0